Record 1
Compound: Y2TmTl
Source: Alexandria
Functional: PBE
Structure: optimized geometry

a = 11.0325 Å, b = 11.0325 Å, c = 11.0325 Å
α = 18.79°, β = 18.79°, γ = 18.79°
Closest atoms and distances in Å follow each position.
Fractional coordinates of all 4 atoms:
Y1 0.0000 0.0000 0.0000  3 Tl 3.32, 3 Tm 3.51, 6 Y 3.60
Y2 0.1739 0.1739 0.1739  3 Tl 3.33, 3 Tm 3.51, 6 Y 3.60
Tm1 0.7537 0.7537 0.7537  6 Y 3.51, 6 Tm 3.60
Tl1 0.5871 0.5871 0.5871  6 Y 3.32-3.33, 6 Tl 3.60

Calculated values
The total magnetic moment is 0.59 μB per cell. The calculated density comes out at 7.5 Mg/m³. The formation energy comes out at -128.2 meV/atom. The density of states at the Fermi level is 1.1664 states/eV/atom.

***

Record 2
Compound: YTm2Tl2
Source: Alexandria
Functional: PBE
Structure: optimized geometry

a = 5.2168 Å, b = 6.5754 Å, c = 9.0667 Å
α = 103.19°, β = 90.05°, γ = 113.30°
Closest atoms and distances in Å follow each position.
Fractional coordinates of all 10 atoms:
Y1 0.0665 0.1323 0.3533  4 Tl 3.14-3.48, 2 Tm 3.40, 1 Y 3.43
Y2 0.9335 0.8677 0.6467  4 Tl 3.14-3.48, 2 Tm 3.40, 1 Y 3.43
Tm1 0.2509 0.5016 0.7519  6 Tl 3.27-3.34
Tm2 0.4319 0.8636 0.1414  4 Tl 3.10-3.45, 1 Tm 3.38, 2 Y 3.40
Tm3 0.5681 0.1364 0.8586  4 Tl 3.10-3.45, 1 Tm 3.38, 2 Y 3.40
Tm4 0.7491 0.4984 0.2481  6 Tl 3.27-3.34
Tl1 0.1365 0.2730 0.0426  6 Tm 3.10-3.45, 1 Y 3.14, 1 Tl 3.19
Tl2 0.3636 0.7277 0.4505  4 Tm 3.11-3.34, 3 Y 3.15-3.48, 1 Tl 3.19
Tl3 0.6364 0.2723 0.5495  4 Tm 3.11-3.34, 3 Y 3.15-3.48, 1 Tl 3.19
Tl4 0.8635 0.7270 0.9574  6 Tm 3.10-3.45, 1 Y 3.14, 1 Tl 3.19

Calculated values
The total magnetic moment is 0.00 μB per cell. The calculated density comes out at 10.0 Mg/m³. The formation energy comes out at -275.3 meV/atom. The density of states at the Fermi level is 0.7000 states/eV/atom.

***

Record 3
Compound: YTm6Tl2
Source: Alexandria
Functional: PBE
Structure: optimized geometry

a = 6.5681 Å, b = 6.5681 Å, c = 11.8308 Å
α = 107.59°, β = 107.59°, γ = 32.76°
Closest atoms and distances in Å follow each position.
Fractional coordinates of all 9 atoms:
Y1 0.0000 0.0000 0.0000  4 Tl 3.17
Tm1 0.0128 0.0128 0.3448  2 Tl 3.22, 7 Tm 3.46-3.59
Tm2 0.3121 0.3121 0.4181  2 Tl 3.27, 8 Tm 3.40-3.59
Tm3 0.3156 0.3156 0.1243  2 Tl 3.25, 5 Tm 3.43-3.51, 2 Y 3.63
Tm4 0.6844 0.6844 0.8757  2 Tl 3.25, 5 Tm 3.43-3.51, 2 Y 3.63
Tm5 0.6879 0.6879 0.5819  2 Tl 3.27, 8 Tm 3.40-3.59
Tm6 0.9872 0.9872 0.6552  2 Tl 3.22, 7 Tm 3.46-3.59
Tl1 0.3566 0.3566 0.7901  2 Y 3.17, 6 Tm 3.22-3.27
Tl2 0.6434 0.6434 0.2099  2 Y 3.17, 6 Tm 3.22-3.27

Calculated values
The total magnetic moment is 0.00 μB per cell. The calculated density comes out at 9.6 Mg/m³. The formation energy comes out at -150.1 meV/atom. The density of states at the Fermi level is 1.1430 states/eV/atom.

***

Record 4
Compound: Y2Tm3Tl2
Source: Alexandria
Functional: PBE
Structure: optimized geometry

a = 5.9801 Å, b = 5.9801 Å, c = 8.3582 Å
α = 107.09°, β = 107.09°, γ = 46.57°
Closest atoms and distances in Å follow each position.
Fractional coordinates of all 7 atoms:
Y1 0.1197 0.1197 0.2685  4 Tl 3.17-3.42
Y2 0.8803 0.8803 0.7315  4 Tl 3.17-3.42
Tm1 0.3674 0.3674 0.0614  3 Tl 3.14-3.30, 4 Tm 3.39-3.48
Tm2 0.5000 0.5000 0.5000  4 Tl 3.16, 2 Tm 3.48
Tm3 0.6326 0.6326 0.9386  3 Tl 3.14-3.30, 4 Tm 3.39-3.48
Tl1 0.1794 0.1794 0.6885  5 Tm 3.14-3.30, 4 Y 3.17-3.42
Tl2 0.8206 0.8206 0.3115  5 Tm 3.14-3.30, 4 Y 3.17-3.42

Calculated values
The total magnetic moment is 0.00 μB per cell. The calculated density comes out at 8.8 Mg/m³. The formation energy comes out at -173.8 meV/atom. The density of states at the Fermi level is 1.0061 states/eV/atom.

***

Record 5
Compound: YTm2Tl
Source: Alexandria
Functional: PBE
Structure: optimized geometry

a = 4.5895 Å, b = 4.7352 Å, c = 11.1155 Å
α = 90.00°, β = 101.85°, γ = 90.00°
Closest atoms and distances in Å follow each position.
Fractional coordinates of all 8 atoms:
Y1 0.1921 0.2500 0.3862  5 Tl 3.11-3.36
Y2 0.8079 0.7500 0.6138  5 Tl 3.11-3.36
Tm1 0.0562 0.7500 0.1137  2 Tl 3.27, 8 Tm 3.30-3.52
Tm2 0.4347 0.7500 0.8681  2 Tl 3.18, 6 Tm 3.30-3.52
Tm3 0.5653 0.2500 0.1319  2 Tl 3.18, 6 Tm 3.30-3.52
Tm4 0.9438 0.2500 0.8863  2 Tl 3.27, 8 Tm 3.30-3.52
Tl1 0.3375 0.2500 0.6724  5 Y 3.11-3.36, 4 Tm 3.18-3.27
Tl2 0.6625 0.7500 0.3276  5 Y 3.11-3.36, 4 Tm 3.18-3.27

Calculated values
The total magnetic moment is 0.00 μB per cell. The calculated density comes out at 8.9 Mg/m³. The formation energy comes out at -156.7 meV/atom. The density of states at the Fermi level is 1.0476 states/eV/atom.

***

Record 6
Compound: Y2Tm3Tl
Source: Alexandria
Functional: PBE
Structure: optimized geometry

a = 6.6286 Å, b = 6.6286 Å, c = 6.6286 Å
α = 128.72°, β = 122.45°, γ = 80.67°
Closest atoms and distances in Å follow each position.
Fractional coordinates of all 6 atoms:
Y1 0.1847 0.1847 0.0000  1 Tl 3.19, 6 Tm 3.21-3.42
Y2 0.8153 0.8153 0.0000  1 Tl 3.19, 6 Tm 3.21-3.42
Tm1 0.0000 0.5000 0.5000  2 Tl 3.19, 4 Y 3.42, 2 Tm 3.49
Tm2 0.3452 0.8452 0.5000  2 Tm 3.13-3.49, 4 Y 3.21-3.30, 2 Tl 3.27
Tm3 0.6548 0.1548 0.5000  2 Tm 3.13-3.49, 4 Y 3.21-3.30, 2 Tl 3.27
Tl1 0.5000 0.5000 0.0000  2 Y 3.19, 6 Tm 3.19-3.27

Calculated values
The total magnetic moment is 0.00 μB per cell. The calculated density comes out at 8.0 Mg/m³. The formation energy comes out at 265.2 meV/atom. The density of states at the Fermi level is 1.5143 states/eV/atom.

***

Record 7
Compound: Y3Tm3Tl2
Source: Alexandria
Functional: PBE
Structure: optimized geometry

a = 6.3871 Å, b = 6.3871 Å, c = 16.5672 Å
α = 90.00°, β = 90.00°, γ = 134.14°
Closest atoms and distances in Å follow each position.
Fractional coordinates of all 16 atoms:
Y1 0.0469 0.9531 0.6040  3 Tl 3.35-3.59, 6 Tm 3.48-3.60, 2 Y 3.62-3.66
Y2 0.0469 0.9531 0.8960  3 Tl 3.35-3.59, 6 Tm 3.48-3.60, 2 Y 3.62-3.66
Y3 0.2802 0.7198 0.7500  4 Tl 3.21, 3 Tm 3.32-3.57
Y4 0.7198 0.2802 0.2500  4 Tl 3.21, 3 Tm 3.32-3.57
Y5 0.9531 0.0469 0.1040  3 Tl 3.35-3.59, 6 Tm 3.48-3.60, 2 Y 3.62-3.66
Y6 0.9531 0.0469 0.3960  3 Tl 3.35-3.59, 6 Tm 3.48-3.60, 2 Y 3.62-3.66
Tm1 0.3616 0.6384 0.5387  3 Tl 3.12-3.14, 2 Y 3.48
Tm2 0.3616 0.6384 0.9613  3 Tl 3.12-3.14, 2 Y 3.48
Tm3 0.4374 0.5626 0.2500  2 Tl 3.11, 5 Y 3.32-3.48
Tm4 0.5626 0.4374 0.7500  2 Tl 3.11, 5 Y 3.32-3.48
Tm5 0.6384 0.3616 0.0387  3 Tl 3.12-3.14, 2 Y 3.48
Tm6 0.6384 0.3616 0.4613  3 Tl 3.12-3.14, 2 Y 3.48
Tl1 0.2358 0.7642 0.1283  4 Tm 3.11-3.14, 3 Y 3.21-3.35
Tl2 0.2358 0.7642 0.3717  4 Tm 3.11-3.14, 3 Y 3.21-3.35
Tl3 0.7642 0.2358 0.6283  4 Tm 3.11-3.14, 3 Y 3.21-3.35
Tl4 0.7642 0.2358 0.8717  4 Tm 3.11-3.14, 3 Y 3.21-3.35

Calculated values
The total magnetic moment is 0.00 μB per cell. The calculated density comes out at 8.1 Mg/m³. The formation energy comes out at -112.1 meV/atom. The density of states at the Fermi level is 1.4128 states/eV/atom.

***

Record 8
Compound: Y6TmTl
Source: Alexandria
Functional: PBE
Structure: optimized geometry

a = 6.3251 Å, b = 6.3251 Å, c = 6.3251 Å
α = 93.86°, β = 93.86°, γ = 93.86°
Closest atoms and distances in Å follow each position.
Fractional coordinates of all 8 atoms:
Y1 0.0350 0.7576 0.5455  1 Tl 3.19, 2 Y 3.21-3.27, 1 Tm 3.48
Y2 0.2424 0.4545 0.9650  1 Tl 3.19, 2 Y 3.21-3.27, 1 Tm 3.48
Y3 0.4545 0.9650 0.2424  1 Tl 3.19, 2 Y 3.21-3.27, 1 Tm 3.48
Y4 0.5455 0.0350 0.7576  1 Tl 3.19, 2 Y 3.21-3.27, 1 Tm 3.48
Y5 0.7576 0.5455 0.0350  1 Tl 3.19, 2 Y 3.21-3.27, 1 Tm 3.48
Y6 0.9650 0.2424 0.4545  1 Tl 3.19, 2 Y 3.21-3.27, 1 Tm 3.48
Tm1 0.5000 0.5000 0.5000  12 Y 3.48-3.64
Tl1 0.0000 0.0000 0.0000  6 Y 3.19

Calculated values
The total magnetic moment is 0.00 μB per cell. The calculated density comes out at 6.0 Mg/m³. The formation energy comes out at 3.9 meV/atom. The density of states at the Fermi level is 1.5216 states/eV/atom.

***

Record 9
Compound: Y4Tm3Tl4
Source: Alexandria
Functional: PBE
Structure: optimized geometry

a = 10.6221 Å, b = 10.6221 Å, c = 10.6221 Å
α = 160.29°, β = 127.03°, γ = 57.07°
Closest atoms and distances in Å follow each position.
Fractional coordinates of all 11 atoms:
Y1 0.0255 0.8377 0.1878  4 Tl 3.15-3.24
Y2 0.3501 0.1623 0.1878  4 Tl 3.15-3.24
Y3 0.6499 0.8377 0.8122  4 Tl 3.15-3.24
Y4 0.9745 0.1623 0.8122  4 Tl 3.15-3.24
Tm1 0.0000 0.5000 0.5000  4 Tl 3.22
Tm2 0.4039 0.4039 0.0000  6 Tl 3.09-3.29
Tm3 0.5961 0.5961 0.0000  6 Tl 3.09-3.29
Tl1 0.2698 0.7698 0.5000  2 Tm 3.09, 6 Y 3.22-3.24
Tl2 0.2804 0.0000 0.2804  2 Y 3.15, 6 Tm 3.22-3.29
Tl3 0.7196 0.0000 0.7196  2 Y 3.15, 6 Tm 3.22-3.29
Tl4 0.7302 0.2302 0.5000  2 Tm 3.09, 6 Y 3.22-3.24

Calculated values
The total magnetic moment is 0.57 μB per cell. The calculated density comes out at 8.7 Mg/m³. The formation energy comes out at -231.2 meV/atom. The density of states at the Fermi level is 1.0683 states/eV/atom.

***

Record 10
Compound: Tm4Tl2Zn
Source: Alexandria
Functional: PBE
Structure: optimized geometry

a = 6.6133 Å, b = 6.6379 Å, c = 9.1355 Å
α = 90.00°, β = 107.17°, γ = 90.00°
Closest atoms and distances in Å follow each position.
Fractional coordinates of all 14 atoms:
Tm1 0.1099 0.2500 0.0536  1 Zn 2.89, 1 Tl 3.20
Tm2 0.2114 0.0039 0.7422  1 Zn 2.84, 3 Tl 3.09-3.15
Tm3 0.2114 0.4961 0.7422  1 Zn 2.84, 3 Tl 3.09-3.15
Tm4 0.2936 0.7500 0.3531  1 Zn 2.93, 1 Tl 3.10
Tm5 0.7064 0.2500 0.6469  1 Zn 2.93, 1 Tl 3.10
Tm6 0.7886 0.5039 0.2578  1 Zn 2.84, 3 Tl 3.09-3.15
Tm7 0.7886 0.9961 0.2578  1 Zn 2.84, 3 Tl 3.09-3.15
Tm8 0.8901 0.7500 0.9464  1 Zn 2.89, 1 Tl 3.20
Tl1 0.1697 0.2500 0.4482  1 Zn 2.64
Tl2 0.3962 0.7500 0.0430  6 Tm 3.10-3.20
Tl3 0.6038 0.2500 0.9570  6 Tm 3.10-3.20
Tl4 0.8303 0.7500 0.5518  1 Zn 2.64
Zn1 0.4783 0.2500 0.3190  1 Tl 2.64, 4 Tm 2.84-2.93
Zn2 0.5217 0.7500 0.6810  1 Tl 2.64, 4 Tm 2.84-2.93

Calculated values
The total magnetic moment is 0.00 μB per cell. The calculated density comes out at 10.0 Mg/m³. The formation energy comes out at -139.9 meV/atom. The density of states at the Fermi level is 0.7172 states/eV/atom.

***

Record 11
Compound: Tm5Tl6Zn
Source: Alexandria
Functional: PBE
Structure: optimized geometry

a = 8.9126 Å, b = 8.9126 Å, c = 8.9126 Å
α = 148.82°, β = 120.70°, γ = 68.52°
Closest atoms and distances in Å follow each position.
Fractional coordinates of all 12 atoms:
Tm1 0.0000 0.0000 0.0000  8 Tl 3.16-3.30
Tm2 0.1778 0.6778 0.5000  8 Tl 3.18-3.33, 2 Tm 3.55
Tm3 0.3636 0.3636 0.0000  6 Tl 3.09-3.32, 2 Zn 3.13
Tm4 0.6364 0.6364 0.0000  6 Tl 3.09-3.32, 2 Zn 3.13
Tm5 0.8222 0.3222 0.5000  8 Tl 3.18-3.33, 2 Tm 3.55
Tl1 0.0747 0.8302 0.2445  6 Tm 3.18-3.32, 4 Tl 3.37-3.47, 1 Zn 3.37
Tl2 0.2338 0.5000 0.7338  6 Tm 3.09-3.33, 2 Zn 3.35
Tl3 0.4144 0.1698 0.2445  6 Tm 3.18-3.32, 4 Tl 3.37-3.47, 1 Zn 3.37
Tl4 0.5856 0.8302 0.7555  6 Tm 3.18-3.32, 4 Tl 3.37-3.47, 1 Zn 3.37
Tl5 0.7662 0.5000 0.2662  6 Tm 3.09-3.33, 2 Zn 3.35
Tl6 0.9253 0.1698 0.7555  6 Tm 3.18-3.32, 4 Tl 3.37-3.47, 1 Zn 3.37
Zn1 0.5000 0.0000 0.5000  4 Tm 3.13, 8 Tl 3.35-3.37

Calculated values
The total magnetic moment is 0.00 μB per cell. The calculated density comes out at 11.4 Mg/m³. The formation energy comes out at -236.1 meV/atom. The density of states at the Fermi level is 0.6927 states/eV/atom.

***

Record 12
Compound: Tm8TlZn2
Source: Alexandria
Functional: PBE
Structure: optimized geometry

a = 8.1134 Å, b = 8.1134 Å, c = 5.3428 Å
α = 99.62°, β = 99.62°, γ = 115.28°
Closest atoms and distances in Å follow each position.
Fractional coordinates of all 11 atoms:
Tm1 0.0859 0.3324 0.6033  2 Zn 2.91-3.05
Tm2 0.2322 0.7678 0.0000  2 Zn 2.86, 1 Tl 3.18
Tm3 0.3324 0.0859 0.6033  2 Zn 2.91-3.05
Tm4 0.3942 0.3942 0.1974  2 Zn 3.09, 2 Tm 3.18-3.20, 1 Tl 3.25
Tm5 0.6058 0.6058 0.8026  2 Zn 3.09, 2 Tm 3.18-3.20, 1 Tl 3.25
Tm6 0.6676 0.9141 0.3967  2 Zn 2.91-3.05
Tm7 0.7678 0.2322 0.0000  2 Zn 2.86, 1 Tl 3.18
Tm8 0.9141 0.6676 0.3967  2 Zn 2.91-3.05
Tl1 0.0000 0.0000 0.0000  4 Tm 3.18-3.25
Zn1 0.3065 0.6935 0.5000  8 Tm 2.86-3.09
Zn2 0.6935 0.3065 0.5000  8 Tm 2.86-3.09

Calculated values
The total magnetic moment is 0.00 μB per cell. The calculated density comes out at 9.3 Mg/m³. The formation energy comes out at -69.0 meV/atom. The density of states at the Fermi level is 1.4655 states/eV/atom.